(1)
# TlVAg2Cl8 | Alexandria via LeMat-Bulk | PBE-GGA | optimized geometry
data_TlVAg2Cl8
_chemical_formula_sum 'Tl1 V1 Ag2 Cl8'
_cell_length_a 6.4043
_cell_length_b 6.1863
_cell_length_c 8.3945
_cell_angle_alpha 83.08
_cell_angle_beta 83.78
_cell_angle_gamma 87.16
_symmetry_space_group_name_H-M 'P 1'
_symmetry_Int_Tables_number 1
loop_
_symmetry_equiv_pos_as_xyz
'x,y,z'
loop_
_atom_site_label
_atom_site_type_symbol
_atom_site_fract_x
_atom_site_fract_y
_atom_site_fract_z
Ag1 Ag 0.5439 0.5848 0.2730
Ag2 Ag 0.4561 0.4152 0.7270
Cl1 Cl 0.8594 0.2327 0.7977
Cl2 Cl 0.8258 0.1989 0.1923
Cl3 Cl 0.6608 0.6997 0.5364
Cl4 Cl 0.1742 0.8011 0.8077
Cl5 Cl 0.2856 0.2188 0.9849
Cl6 Cl 0.1406 0.7673 0.2023
Cl7 Cl 0.3392 0.3003 0.4636
Cl8 Cl 0.7144 0.7812 0.0151
Tl1 Tl 0.0000 0.0000 0.5000
V1 V 0.0000 0.0000 0.0000
# * E_form (uncorrected): -0.7791 eV/atom
# * calculated total energy: -0.1265 Ha/atom
# * space-group type: P-1
# * N(E_F): 5.5 states/eV/f.u.
# * calculated density: 3.8 g/cm3
# * M_tot: 0.44 Bohr magnetons per cell

---

(2)
# Sr2YCl | Alexandria via LeMat-Bulk | PBE-GGA | optimized geometry
data_Sr2YCl
_chemical_formula_sum 'Sr2 Y1 Cl1'
_cell_length_a 3.7687
_cell_length_b 3.7687
_cell_length_c 10.1191
_cell_angle_alpha 90.00
_cell_angle_beta 90.00
_cell_angle_gamma 90.00
_symmetry_space_group_name_H-M 'P 1'
_symmetry_Int_Tables_number 1
loop_
_symmetry_equiv_pos_as_xyz
'x,y,z'
loop_
_atom_site_label
_atom_site_type_symbol
_atom_site_fract_x
_atom_site_fract_y
_atom_site_fract_z
Sr1 Sr 0.0000 0.0000 0.5307
Sr2 Sr 0.0000 0.0000 0.9693
Y1 Y 0.5000 0.5000 0.2500
Cl1 Cl 0.5000 0.5000 0.7500
# * E_form (uncorrected): -0.6653 eV/atom
# * calculated total energy: -0.1317 Ha/atom
# * space-group type: P4/mmm
# * N(E_F): 4.1 states/eV/f.u.
# * calculated density: 3.5 g/cm3
# * M_tot: 0.44 Bohr magnetons per cell

---

(3)
# Zr2FeMo2 | Alexandria via LeMat-Bulk | PBE-GGA | optimized geometry
data_Zr2FeMo2
_chemical_formula_sum 'Zr4 Fe2 Mo4'
_cell_length_a 6.3390
_cell_length_b 6.3390
_cell_length_c 4.5187
_cell_angle_alpha 90.00
_cell_angle_beta 90.00
_cell_angle_gamma 90.00
_symmetry_space_group_name_H-M 'P 1'
_symmetry_Int_Tables_number 1
loop_
_symmetry_equiv_pos_as_xyz
'x,y,z'
loop_
_atom_site_label
_atom_site_type_symbol
_atom_site_fract_x
_atom_site_fract_y
_atom_site_fract_z
Mo1 Mo 0.6472 0.1472 0.0000
Mo2 Mo 0.1472 0.3528 0.0000
Mo3 Mo 0.3528 0.8528 0.0000
Mo4 Mo 0.8528 0.6472 0.0000
Fe1 Fe 0.0000 0.0000 0.0000
Fe2 Fe 0.5000 0.5000 0.0000
Zr1 Zr 0.8241 0.3241 0.5000
Zr2 Zr 0.6759 0.8241 0.5000
Zr3 Zr 0.1759 0.6759 0.5000
Zr4 Zr 0.3241 0.1759 0.5000
# * calculated total energy: -0.3387 Ha/atom
# * energy of formation: 226 meV/atom
# * space-group type: P4/mbm
# * N(E_F): 5.0 states/eV/f.u.
# * calculated density: 7.9 g/cm3
# * M_tot: 0.00 Bohr magnetons per cell